MnZnSe: relaxed, GGA-PBE.

POSCAR file:
```
MnZnSe
1.0
-4.211 1.259 -0.155
-2.111 0.145 -3.855
-3.143 -2.942 -0.898
Mn Se Zn
1 1 1
Direct
0.500 0.500 0.500
0.750 0.750 0.750
0.000 0.000 0.000
```

Summary:
The density is 5.50 g cm⁻³. Its density of states at the Fermi level is 2.87 states/eV/f.u. The formation energy without anion corrections comes out at 250 meV per atom.